First-principles (PBE-GGA) data for LaSbRu2 after structural relaxation, as listed in the Alexandria database.

Computed properties:
space group: No. 216
DFT total energy: -26.4 eV/cell
uncorrected formation energy: 302 meV per atom

Cell and atoms, written as extended XYZ:
```
4
Lattice="0.0000 3.4714 3.4714 3.4714 0.0000 3.4714 3.4714 3.4714 0.0000" Properties=species:S:1:pos:R:3 pbc="T T T"
La 0.0000 0.0000 0.0000
Sb 1.7357 1.7357 1.7357
Ru 3.4714 3.4714 3.4714
Ru 5.2072 5.2072 5.2072
```